Entry 1:
A relaxed HoEr5 crystal. Source: the Alexandria database, functional GGA-PBE.

Cell lengths 11.0632, 4.9502, 6.9990 Å; angles 90.00, 108.41, 90.00 degrees
Space group C2/m (No. 12)
One atom of each set of equivalent atoms:
Ho 0.0000 0.0000 0.0000 [2 per cell]
Er 0.0000 0.0000 0.5000 [2 per cell]
Er 0.1668 0.5000 0.3335 [4 per cell]
Er 0.1666 0.5000 0.8333 [4 per cell]

Entry 2:
A relaxed YBi2Pt2 crystal. Source: the Alexandria database, functional GGA-PBE.

Cell lengths 4.4113, 4.4113, 12.8563 Å; angles 90.00, 90.00, 90.00 degrees
Space group I4/mmm (No. 139)
One atom of each set of equivalent atoms:
Y 0.0000 0.0000 0.0000 [2 per cell]
Bi 0.0000 0.5000 0.2500 [4 per cell]
Pt 0.0000 0.0000 0.3996 [4 per cell]

Entry 3:
A relaxed NaPr2Co crystal. Source: the Alexandria database, functional GGA-PBE.

Cell lengths 3.9735, 3.9735, 31.6633 Å; angles 90.00, 90.00, 120.00 degrees
Space group R-3m (No. 166, hexagonal axes)
One atom of each set of equivalent atoms:
Na 0.0000 0.0000 0.0000 [3 per cell]
Pr 0.0000 0.0000 0.1193 [6 per cell]
Co 0.0000 0.0000 0.5000 [3 per cell]

Number 1: ΔE_f 13 kJ/mol of formula units, calculated volume 30.3 A^3/atom. Number 2: ΔE_f -192 kJ/mol of formula units, calculated volume 25.0 A^3/atom. Number 3: ΔE_f 35 kJ/mol of formula units, calculated volume 36.1 A^3/atom.